AgBMoO4 after structural relaxation, computed with PBE+U.

Cell: 5.0021 5.0021 6.6452 Å, 90.00 90.00 116.84°
Last column: nearest neighbours and their distance in Å.
Element x y z (fractional)
Ag: 0.8299 0.1701 0.2500  4 O 2.32-2.36
Ag: 0.1701 0.8299 0.7500  4 O 2.32-2.36
B: 0.1737 0.8263 0.2500  4 O 1.45-1.57
B: 0.8263 0.1737 0.7500  4 O 1.45-1.57
Mo: 0.5000 0.5000 0.5000  6 O 2.00-2.22
Mo: 0.5000 0.5000 0.0000  6 O 2.00-2.22
O: 0.1766 0.3039 0.7500  1 B 1.57
O: 0.6961 0.8234 0.7500  1 B 1.57
O: 0.7271 0.2729 0.9272  1 B 1.45
O: 0.7271 0.2729 0.5728  1 B 1.45
O: 0.2729 0.7271 0.0728  1 B 1.45
O: 0.2729 0.7271 0.4272  1 B 1.45
O: 0.8234 0.6961 0.2500  1 B 1.57
O: 0.3039 0.1766 0.2500  1 B 1.57

Calculated values
As for the crystal system: orthorhombic. For the spin magnetization, the calculation gives 1.975 μB/f.u. Its uncorrected energy is -6.63 eV per atom.